# Ni2GeBi

A relaxed Ni2GeBi crystal (GGA-PBE, Alexandria). Values from VASP.

Calculated values
Calculated total energy in eV/atom: -4.853
Energy relative to the elements in eV/atom: 0.16
Excess energy over the best structure of this formula in the dataset in meV per atom: 0.0
Symmetry: I-42d (122)

Quantum ESPRESSO input file:
```
&SYSTEM
  ibrav = 0, nat = 16, ntyp = 3
/
ATOMIC_SPECIES
Ni 58.69 Ni.upf
Ge 72.64 Ge.upf
Bi 208.98 Bi.upf
CELL_PARAMETERS angstrom
4.397 0.000 0.000
0.000 4.397 0.000
0.000 0.000 15.393
ATOMIC_POSITIONS crystal
Ni 0.168 0.250 0.125
Ni 0.250 0.668 0.375
Ni 0.250 0.832 0.875
Ni 0.332 0.250 0.625
Ni 0.668 0.750 0.625
Ni 0.750 0.168 0.875
Ni 0.750 0.332 0.375
Ni 0.832 0.750 0.125
Ge 0.000 0.000 0.000
Ge 0.000 0.500 0.250
Ge 0.500 0.000 0.750
Ge 0.500 0.500 0.500
Bi 0.000 0.000 0.500
Bi 0.000 0.500 0.750
Bi 0.500 0.000 0.250
Bi 0.500 0.500 0.000
```